A relaxed RbThCu2Br8 crystal. Source: Alexandria via LeMat-Bulk, functional GGA-PBE.

Results
* uncorrected energy: -3.587 eV per atom
* ΔE_f (raw): -1.0899 eV per atom

a b c (Å): 11.1030 7.8861 10.3332
angles (deg): 90.00 93.27 90.00
Last column: nearest neighbours and their distance in Å.
Space group C2/m (No. 12)
One atom of each set of equivalent atoms:
Rb (0.0000, 0.0000, 0.0000) (multiplicity 2)  6 Br 3.55-3.65
Th (0.0000, 0.0000, 0.5000) (multiplicity 2)  6 Br 2.86-2.87
Cu (0.1490, 0.5000, 0.2749) (multiplicity 4)  2 Br 2.30-2.41
Br (0.0017, 0.2485, 0.7017) (multiplicity 8)  1 Cu 2.62, 1 Th 2.86
Br (0.1877, 0.5000, 0.0589) (multiplicity 4)  1 Cu 2.30
Br (0.2414, 0.5000, 0.4914) (multiplicity 4)  1 Cu 2.41